[1]
# PBE-GGA Bi2Pd2I, optimized geometry
data_Bi2Pd2I
_cell_length_a 8.536
_cell_length_b 8.536
_cell_length_c 3.509
_cell_angle_alpha 90.00
_cell_angle_beta 90.00
_cell_angle_gamma 90.00
_symmetry_space_group_name_H-M 'P 4/m b m'
_symmetry_Int_Tables_number 127
_symmetry_space_group_name_Hall '-P 4 2ab'
loop_
_atom_site_label
_atom_site_type_symbol
_atom_site_fract_x
_atom_site_fract_y
_atom_site_fract_z
Bi1 Bi 0.157 0.343 0.000
Pd1 Pd 0.118 0.618 0.500
I1 I 0.000 0.000 0.000
# * E_form (uncorrected): 0.0070 eV per atom
# * spin magnetization: 0.00 μB/f.u.
# * calculated total energy: -39.3 eV for the cell shown
# * mass density: 9.84 Mg/m³

=====

[2]
# PBE-GGA BiPd3I, optimized geometry
data_BiPd3I
_cell_length_a 3.716
_cell_length_b 7.038
_cell_length_c 8.096
_cell_angle_alpha 90.00
_cell_angle_beta 90.00
_cell_angle_gamma 90.00
_symmetry_space_group_name_H-M 'P m m n'
_symmetry_Int_Tables_number 59
loop_
_symmetry_equiv_pos_as_xyz
'x,y,z'
'-x,-y,-z'
'-x+1/2,-y+1/2,z'
'x+1/2,y+1/2,-z'
'x+1/2,-y,-z'
'-x+1/2,y,z'
'-x,y+1/2,-z'
'x,-y+1/2,z'
loop_
_atom_site_label
_atom_site_type_symbol
_atom_site_fract_x
_atom_site_fract_y
_atom_site_fract_z
Bi1 Bi 0.250 0.250 0.012
Pd1 Pd 0.250 0.548 0.778
Pd2 Pd 0.250 0.750 0.274
I1 I 0.250 0.250 0.469
# * E_form (uncorrected): -0.0551 eV per atom
# * spin magnetization: 0.00 μB/f.u.
# * calculated total energy: -42.6 eV for the cell shown
# * mass density: 10.27 Mg/m³

=====

[3]
# PBE-GGA BiPdI, optimized geometry
data_BiPdI
_cell_length_a 4.0804
_cell_length_b 4.0804
_cell_length_c 5.9018
_cell_angle_alpha 90.00
_cell_angle_beta 90.00
_cell_angle_gamma 120.00
_symmetry_space_group_name_H-M 'P 3 m 1'
_symmetry_Int_Tables_number 156
_symmetry_space_group_name_Hall 'P 3 -2"'
loop_
_atom_site_label
_atom_site_type_symbol
_atom_site_fract_x
_atom_site_fract_y
_atom_site_fract_z
Bi1 Bi 0.0000 0.0000 0.0000
Pd1 Pd 0.3333 0.6667 0.7455
I1 I 0.6667 0.3333 0.4671
# * E_form (uncorrected): -0.2167 eV per atom
# * spin magnetization: 0.00 μB/f.u.
# * calculated total energy: -11.3 eV for the cell shown
# * mass density: 8.63 Mg/m³

=====

Number 2 is which compound? BiPd3I